1.
First-principles (GGA-PBE) data for Y2HoIn after structural relaxation, as listed in the Alexandria database.

Results
ΔE to the lowest computed polymorph	59	kJ/mol of formula units
volume	115	Å³/cell
calculated formation energy	-0.12	eV/atom
space group	F-43m, No. 216

Cell: 5.4553 5.4553 5.4562 Å, 60.01 60.01 60.00°
With the nearest neighbours (Å) after each atom.
Atoms (fractional coordinates):
1 Y 0.2500 0.2500 0.2500  4 Y 3.34, 4 Ho 3.34
2 Y 0.0000 0.0000 0.9999  4 In 3.34, 4 Y 3.34
3 Ho 0.5000 0.5000 0.5001  4 In 3.34, 4 Y 3.34
4 In 0.7500 0.7500 0.7500  4 Ho 3.34, 4 Y 3.34

---

2.
First-principles (GGA-PBE) data for SrPmInPd after structural relaxation, as listed in the Alexandria database.

Results
volume	111	Å³/cell
calculated formation energy	-0.44	eV/atom
space group	F-43m, No. 216

Cell: 5.3883 5.3883 5.3883 Å, 60.00 60.00 60.00°
With the nearest neighbours (Å) after each atom.
Atoms (fractional coordinates):
1 Sr 0.7500 0.7500 0.7500  4 In 3.30, 4 Pd 3.30
2 Pm 0.2500 0.2500 0.2500  4 In 3.30, 4 Pd 3.30
3 Pd 0.0000 0.0000 0.0000  4 Sr 3.30, 4 Pm 3.30
4 In 0.5000 0.5000 0.5000  4 Pm 3.30, 4 Sr 3.30

---

3.
First-principles (GGA-PBE) data for Ce6CoHg2Os after structural relaxation, as listed in the Alexandria database.

Results
volume	282	Å³/cell
calculated formation energy	-0.14	eV/atom
space group	P-1, No. 2

Cell: 7.1503 7.1563 7.4737 Å, 61.62 61.40 90.10°
With the nearest neighbours (Å) after each atom.
Atoms (fractional coordinates):
1 Ce 0.7549 0.7549 0.4965  1 Os 2.74, 1 Co 2.78
2 Ce 0.1880 0.3342 0.9952  1 Co 2.55, 1 Os 2.72
3 Ce 0.3315 0.8144 0.9995  1 Co 2.55, 1 Os 2.72
4 Ce 0.6685 0.1856 0.0005  1 Co 2.55, 1 Os 2.72
5 Ce 0.8120 0.6658 0.0048  1 Co 2.55, 1 Os 2.72
6 Ce 0.2451 0.2451 0.5035  1 Os 2.74, 1 Co 2.78
7 Co 0.5000 0.5000 0.0000  6 Ce 2.55-2.78
8 Hg 0.2498 0.7502 0.4999  8 Ce 3.27-3.60
9 Hg 0.7502 0.2498 0.5001  8 Ce 3.27-3.60
10 Os 0.0000 0.0000 0.0000  6 Ce 2.72-2.74

---

4.
First-principles (GGA-PBE) data for PrDy2Ni after structural relaxation, as listed in the Alexandria database.

Results
ΔE to the lowest computed polymorph	26	kJ/mol of formula units
volume	115	Å³/cell
calculated formation energy	-0.12	eV/atom
space group	R3m, No. 160

Cell: 3.8495 3.8495 9.2531 Å, 77.99 77.99 60.00°
With the nearest neighbours (Å) after each atom.
Atoms (fractional coordinates):
1 Dy 0.2759 0.2759 0.1724  3 Ni 2.69
2 Dy 0.0566 0.0566 0.8301  3 Ni 2.71
3 Pr 0.5020 0.5020 0.4940  6 Dy 3.64-3.75, 6 Pr 3.85
4 Ni 0.6655 0.6655 0.0035  6 Dy 2.69-2.71

---

5.
First-principles (GGA-PBE) data for Pr2GeP3Rh4 after structural relaxation, as listed in the Alexandria database.

Results
volume	172	Å³/cell
calculated formation energy	-1.02	eV/atom
space group	P-4m2, No. 115

Cell: 4.1779 4.1779 9.8697 Å, 90.00 90.00 90.00°
With the nearest neighbours (Å) after each atom.
Atoms (fractional coordinates):
1 Rh 0.5000 0.5000 0.0000  4 P 2.47
2 Rh 0.0000 0.0000 0.0000  4 P 2.47
3 Rh 0.0000 0.5000 0.3730  3 P 2.36-2.44, 2 Ge 2.44
4 Rh 0.5000 0.0000 0.6270  3 P 2.36-2.44, 2 Ge 2.44
5 P 0.5000 0.0000 0.8658  5 Rh 2.36-2.47
6 P 0.0000 0.5000 0.1342  5 Rh 2.36-2.47
7 P 0.0000 0.0000 0.5000  4 Rh 2.44
8 Pr 0.0000 0.5000 0.7470  6 P 3.18-3.21, 8 Rh 3.18-3.26, 2 Ge 3.21
9 Pr 0.5000 0.0000 0.2530  6 P 3.18-3.21, 8 Rh 3.18-3.26, 2 Ge 3.21
10 Ge 0.5000 0.5000 0.5000  4 Rh 2.44

---

6.
First-principles (GGA-PBE) data for Hf3PN6 after structural relaxation, as listed in the Alexandria database.

Results
ΔE_f (raw)	-1230	meV per atom
volume	228	Å³/cell
space group	Cmc2_1, No. 36

Cell: 4.9899 6.8523 6.8523 Å, 102.79 90.00 90.00°
With the nearest neighbours (Å) after each atom.
Atoms (fractional coordinates):
1 N 0.2100 0.6733 0.6471  4 Hf 2.10-2.18
2 N 0.7100 0.3267 0.3529  4 Hf 2.10-2.18
3 N 0.7100 0.6471 0.6733  4 Hf 2.10-2.18
4 N 0.6412 0.9490 0.0510  1 P 1.67
5 N 0.1412 0.0510 0.9490  1 P 1.67
6 N 0.1672 0.4131 0.8919  1 P 1.65
7 N 0.6672 0.5869 0.1081  1 P 1.65
8 N 0.2100 0.3529 0.3267  4 Hf 2.10-2.18
9 N 0.1911 0.7887 0.2113  1 P 1.64
10 N 0.1672 0.1081 0.5869  1 P 1.65
11 N 0.6672 0.8919 0.4131  1 P 1.65
12 N 0.6911 0.2113 0.7887  1 P 1.64
13 Hf 0.4756 0.9168 0.7065  5 N 2.10-2.29
14 Hf 0.9756 0.7065 0.9168  5 N 2.10-2.29
15 Hf 0.4756 0.2935 0.0832  5 N 2.10-2.29
16 Hf 0.9756 0.0832 0.2935  5 N 2.10-2.29
17 Hf 0.4298 0.3967 0.6033  7 N 2.15-2.38
18 Hf 0.9298 0.6033 0.3967  7 N 2.15-2.38
19 P 0.5177 0.8037 0.1963  4 N 1.64-1.67
20 P 0.0177 0.1963 0.8037  4 N 1.64-1.67

---

7.
First-principles (GGA-PBE) data for Ga2CuI6 after structural relaxation, as listed in the Alexandria database.

Results
ΔE to the lowest computed polymorph	3	kJ/mol of formula units
ΔE_f (raw)	-330	meV per atom
volume	932	Å³/cell
space group	C2/c, No. 15

Cell: 7.3732 11.3181 11.3181 Å, 84.70 84.48 84.48°
With the nearest neighbours (Å) after each atom.
Atoms (fractional coordinates):
1 I 0.4676 0.1078 0.1121  2 Cu 2.59
2 I 0.8690 0.5633 0.7023  2 Ga 2.73-2.75
3 I 0.6310 0.2977 0.4367  2 Ga 2.73-2.75
4 I 0.1310 0.4367 0.2977  2 Ga 2.73-2.75
5 I 0.3389 0.4421 0.8620  1 Ga 2.53
6 I 0.0324 0.8879 0.8922  2 Cu 2.59
7 I 0.8389 0.8620 0.4421  1 Ga 2.53
8 I 0.3690 0.7023 0.5633  2 Ga 2.73-2.75
9 I 0.9676 0.1121 0.1078  2 Cu 2.59
10 I 0.1611 0.1380 0.5579  1 Ga 2.53
11 I 0.5324 0.8922 0.8879  2 Cu 2.59
12 I 0.6611 0.5579 0.1380  1 Ga 2.53
13 Cu 0.2500 0.0001 0.9999  4 I 2.59
14 Cu 0.7500 0.9999 0.0001  4 I 2.59
15 Ga 0.7653 0.5066 0.3449  1 Ga 2.46, 3 I 2.53-2.75
16 Ga 0.2653 0.3449 0.5066  1 Ga 2.46, 3 I 2.53-2.75
17 Ga 0.7347 0.6551 0.4934  1 Ga 2.46, 3 I 2.53-2.75
18 Ga 0.2347 0.4934 0.6551  1 Ga 2.46, 3 I 2.53-2.75

---

8.
First-principles (GGA-PBE) data for CdGaGe after structural relaxation, as listed in the Alexandria database.

Results
ΔE to the lowest computed polymorph	6	kJ/mol of formula units
volume	69	Å³/cell
calculated formation energy	0.15	eV/atom
space group	F-43m, No. 216

Cell: 4.6075 4.6075 4.6075 Å, 60.00 60.00 60.00°
With the nearest neighbours (Å) after each atom.
Atoms (fractional coordinates):
1 Ga 0.0000 0.0000 0.0000  4 Ge 2.82
2 Cd 0.5000 0.5000 0.5000  4 Ge 2.82
3 Ge 0.2500 0.2500 0.2500  4 Ga 2.82, 4 Cd 2.82